Entry 1:
# Al2ZnO

Al2ZnO at its PBEsol-relaxed geometry (SCAN, the Alexandria database).

Space group   No. 225
Uncorrected formation energy   0.11 eV/atom
V   13.886 Å³/atom
DOS(E_F)   0.46 states/eV/atom

Cell lengths 4.2827, 4.2827, 4.2827 Å; angles 60.00, 60.00, 60.00 degrees
With the nearest neighbours (Å) after each atom.
Fractional coordinates of all 4 atoms:
Al 0.2500 0.2500 0.2500  4 O 2.62, 4 Zn 2.62
Al 0.7500 0.7500 0.7500  4 O 2.62, 4 Zn 2.62
Zn 0.0000 0.0000 0.0000  8 Al 2.62
O 0.5000 0.5000 0.5000  8 Al 2.62

Entry 2:
# AlTl2Ir

AlTl2Ir at its PBEsol-relaxed geometry (SCAN, the Alexandria database).

Space group   No. 71
E_tot   -224.053 eV for the cell shown
V   22.264 Å³/atom
DOS(E_F)   0.35 states/eV/atom

Cell lengths 7.7810, 7.7810, 7.7810 Å; angles 158.02, 149.62, 37.82 degrees
With the nearest neighbours (Å) after each atom.
Fractional coordinates of all 4 atoms:
Al 0.0000 0.0000 0.0000  4 Ir 2.52
Tl 0.3262 0.8262 0.5000  2 Ir 2.96, 2 Tl 2.97, 2 Al 3.27
Tl 0.6738 0.1738 0.5000  2 Ir 2.96, 2 Tl 2.97, 2 Al 3.27
Ir 0.5000 0.5000 0.0000  4 Al 2.52

Entry 3:
# Cs2SrZrNb

Cs2SrZrNb at its PBEsol-relaxed geometry (SCAN, the Alexandria database).

Space group   No. 123
E_tot   -151.210 eV for the cell shown
V   43.451 Å³/atom
DOS(E_F)   1.25 states/eV/atom

Cell lengths 6.2321, 6.2321, 5.5937 Å; angles 90.00, 90.00, 90.00 degrees
With the nearest neighbours (Å) after each atom.
Fractional coordinates of all 5 atoms:
Cs 0.0000 0.5000 0.0000  2 Sr 3.12
Cs 0.5000 0.0000 0.0000  2 Sr 3.12
Sr 0.0000 0.0000 0.0000  2 Zr 2.80, 4 Cs 3.12
Zr 0.0000 0.0000 0.5000  2 Sr 2.80
Nb 0.5000 0.5000 0.5000  8 Cs 4.19, 4 Zr 4.41

Entry 4:
# Ag2BSb

Ag2BSb at its PBEsol-relaxed geometry (SCAN, the Alexandria database).

Space group   No. 122
Uncorrected formation energy   0.78 eV/atom
V   19.383 Å³/atom
DOS(E_F)   0.42 states/eV/atom

Cell lengths 7.8257, 7.8257, 7.8257 Å; angles 145.24, 145.24, 49.98 degrees
With the nearest neighbours (Å) after each atom.
Fractional coordinates of all 8 atoms:
Ag 0.0126 0.6250 0.8876  2 B 2.22
Ag 0.3750 0.2626 0.3876  2 B 2.22
Ag 0.7374 0.1250 0.1124  2 B 2.22
Ag 0.8750 0.9874 0.6124  2 B 2.22
B 0.0000 0.0000 0.0000  4 Ag 2.22
B 0.7500 0.2500 0.5000  4 Ag 2.22
Sb 0.2500 0.7500 0.5000  4 Ag 2.72
Sb 0.5000 0.5000 0.0000  4 Ag 2.72

Entry 5:
# KRb2Ca

KRb2Ca at its PBEsol-relaxed geometry (SCAN, the Alexandria database).

Space group   No. 225
E_tot   -58.721 eV for the cell shown
V   66.913 Å³/atom
DOS(E_F)   0.87 states/eV/atom

Cell lengths 7.2337, 7.2337, 7.2337 Å; angles 60.00, 60.00, 60.00 degrees
With the nearest neighbours (Å) after each atom.
Fractional coordinates of all 4 atoms:
K 0.0000 0.0000 0.0000  8 Rb 4.43
Rb 0.2500 0.2500 0.2500  4 Ca 4.43, 4 K 4.43
Rb 0.7500 0.7500 0.7500  4 K 4.43, 4 Ca 4.43
Ca 0.5000 0.5000 0.5000  8 Rb 4.43

Entry 6:
# SrAgAu2

SrAgAu2 at its PBEsol-relaxed geometry (SCAN, the Alexandria database).

Space group   No. 166
E_tot   -194.341 eV for the cell shown
V   23.357 Å³/atom
DOS(E_F)   0.21 states/eV/atom

Cell lengths 5.6739, 5.6739, 5.6739 Å; angles 48.33, 48.33, 48.33 degrees
With the nearest neighbours (Å) after each atom.
Fractional coordinates of all 4 atoms:
Sr 0.0000 0.0000 0.0000  8 Au 3.13-3.27
Ag 0.5000 0.5000 0.5000  6 Au 2.75
Au 0.2086 0.2086 0.2086  3 Ag 2.75, 3 Au 2.96
Au 0.7914 0.7914 0.7914  3 Ag 2.75, 3 Au 2.96

Entry 7:
# AlV3

AlV3 at its PBEsol-relaxed geometry (SCAN, the Alexandria database).

Space group   No. 223
E_tot   -121.746 eV for the cell shown
V   13.404 Å³/atom
DOS(E_F)   1.24 states/eV/atom

Cell lengths 4.7509, 4.7509, 4.7509 Å; angles 90.00, 90.00, 90.00 degrees
With the nearest neighbours (Å) after each atom.
Fractional coordinates of all 8 atoms:
Al 0.0000 0.0000 0.0000  12 V 2.66
Al 0.5000 0.5000 0.5000  12 V 2.66
V 0.0000 0.2500 0.5000  2 V 2.38, 4 Al 2.66
V 0.0000 0.7500 0.5000  2 V 2.38, 4 Al 2.66
V 0.2500 0.5000 0.0000  2 V 2.38, 4 Al 2.66
V 0.5000 0.0000 0.2500  2 V 2.38, 4 Al 2.66
V 0.5000 0.0000 0.7500  2 V 2.38, 4 Al 2.66
V 0.7500 0.5000 0.0000  2 V 2.38, 4 Al 2.66

Entry 8:
# KCo2As

KCo2As at its PBEsol-relaxed geometry (SCAN, the Alexandria database).

Space group   No. 44
E_tot   -61.180 eV for the cell shown
V   17.906 Å³/atom
DOS(E_F)   0.44 states/eV/atom

Cell lengths 5.7876, 5.7876, 5.7876 Å; angles 153.15, 124.45, 62.75 degrees
With the nearest neighbours (Å) after each atom.
Fractional coordinates of all 4 atoms:
K 0.0000 0.0000 0.0000  2 K 2.69
Co 0.4895 0.4895 0.0000  2 Co 2.31, 2 As 2.37
Co 0.6790 0.1790 0.5000  2 Co 2.31
As 0.2925 0.7925 0.5000  2 Co 2.37

Entry 9:
# TaMn2Cu

TaMn2Cu at its PBEsol-relaxed geometry (SCAN, the Alexandria database).

Space group   No. 166
E_tot   -117.706 eV for the cell shown
V   13.946 Å³/atom
DOS(E_F)   0.92 states/eV/atom

Cell lengths 8.5970, 8.5970, 8.5970 Å; angles 18.48, 18.48, 18.48 degrees
With the nearest neighbours (Å) after each atom.
Fractional coordinates of all 4 atoms:
Ta 0.0000 0.0000 0.0000  6 Mn 2.73, 6 Ta 2.76
Mn 0.2459 0.2459 0.2459  3 Cu 2.56, 3 Ta 2.73, 6 Mn 2.76
Mn 0.7541 0.7541 0.7541  3 Cu 2.56, 3 Ta 2.73, 6 Mn 2.76
Cu 0.5000 0.5000 0.5000  6 Mn 2.56, 6 Cu 2.76

Entry 10:
# TaNi2Ru

TaNi2Ru at its PBEsol-relaxed geometry (SCAN, the Alexandria database).

Space group   No. 216
E_tot   -134.184 eV for the cell shown
V   13.079 Å³/atom
DOS(E_F)   1.06 states/eV/atom

Cell lengths 4.1980, 4.1980, 4.1980 Å; angles 60.00, 60.00, 60.00 degrees
With the nearest neighbours (Å) after each atom.
Fractional coordinates of all 4 atoms:
Ta 0.0000 0.0000 0.0000  4 Ni 2.57, 4 Ru 2.57
Ni 0.5000 0.5000 0.5000  4 Ru 2.57, 4 Ni 2.57
Ni 0.7500 0.7500 0.7500  4 Ta 2.57, 4 Ni 2.57
Ru 0.2500 0.2500 0.2500  4 Ta 2.57, 4 Ni 2.57

Entry 11:
# SrY3Sn

SrY3Sn at its PBEsol-relaxed geometry (SCAN, the Alexandria database).

Space group   No. 221
E_tot   -136.458 eV for the cell shown
V   32.066 Å³/atom
DOS(E_F)   0.76 states/eV/atom

Cell lengths 5.4326, 5.4326, 5.4326 Å; angles 90.00, 90.00, 90.00 degrees
With the nearest neighbours (Å) after each atom.
Fractional coordinates of all 5 atoms:
Sr 0.0000 0.0000 0.0000  6 Y 2.72
Y 0.0000 0.0000 0.5000  2 Sr 2.72
Y 0.0000 0.5000 0.0000  2 Sr 2.72
Y 0.5000 0.0000 0.0000  2 Sr 2.72
Sn 0.5000 0.5000 0.5000  12 Y 3.84

Entry 12:
# Zn2CrAg

Zn2CrAg at its PBEsol-relaxed geometry (SCAN, the Alexandria database).

Space group   No. 225
E_tot   -76.700 eV for the cell shown
V   14.356 Å³/atom
DOS(E_F)   0.47 states/eV/atom

Cell lengths 4.3305, 4.3305, 4.3305 Å; angles 60.00, 60.00, 60.00 degrees
With the nearest neighbours (Å) after each atom.
Fractional coordinates of all 4 atoms:
Zn 0.2500 0.2500 0.2500  4 Cr 2.65, 4 Ag 2.65
Zn 0.7500 0.7500 0.7500  4 Cr 2.65, 4 Ag 2.65
Cr 0.0000 0.0000 0.0000  8 Zn 2.65
Ag 0.5000 0.5000 0.5000  8 Zn 2.65